Compound: Mg2TcPt
Source: Alexandria
Functional: GGA-PBE
Structure: optimized geometry

Properties
Calculated formation energy   1.16 eV/f.u.
Energy   -4.6078 eV/atom
Magnetic moment   7.8 μB per cell
ΔE to the lowest computed polymorph   521 meV/atom

Unit cell a=7.2407 b=7.2407 c=5.4732 alpha=90.00 beta=90.00 gamma=90.00
Closest atoms and distances in Å follow each position.
Space group I-42d (No. 122)
Inequivalent atoms, fractional coordinates:
Mg1 0.2339 0.2500 0.1250 x8  2 Pt 2.57, 2 Tc 2.73, 2 Mg 2.75
Tc1 0.0000 0.0000 0.5000 x4  4 Mg 2.73, 2 Pt 2.74
Pt1 0.0000 0.0000 0.0000 x4  4 Mg 2.57, 2 Tc 2.74

Compound: Mg2TcPt
Source: Alexandria
Functional: GGA-PBE
Structure: optimized geometry

Properties
Calculated formation energy   -0.53 eV/f.u.
Energy   -5.0325 eV/atom
Magnetic moment   0.0 μB per cell
ΔE to the lowest computed polymorph   96 meV/atom

Unit cell a=2.8707 b=4.6558 c=9.9793 alpha=90.00 beta=90.00 gamma=90.00
Closest atoms and distances in Å follow each position.
Space group Imm2 (No. 44)
Inequivalent atoms, fractional coordinates:
Mg1 0.0000 0.0000 0.0000 x2  2 Pt 2.75, 4 Tc 2.76, 2 Mg 2.87
Mg2 0.0000 0.5000 0.2138 x2  4 Pt 2.74, 2 Mg 2.87, 2 Tc 2.91
Tc1 0.0000 0.0000 0.4597 x2  2 Pt 2.67, 6 Mg 2.76-2.91, 2 Tc 2.87
Pt1 0.0000 0.5000 0.7347 x2  2 Tc 2.67, 6 Mg 2.74-2.75, 2 Pt 2.87